1.
This record from the Alexandria database describes a geometry-optimized Tb2SmSbN4 structure. The functional is PBE.

Unit cell a=6.103 b=3.528 c=6.133 alpha=90.00 beta=109.32 gamma=90.00
Element x y z (fractional)
Tb 0.000 0.000 0.000
Tb 0.500 0.500 0.000
Sm 0.000 0.500 0.500
Sb 0.500 0.000 0.500
N 0.240 0.500 0.236
N 0.248 0.000 0.760
N 0.752 0.000 0.240
N 0.760 0.500 0.764

Results
energy relative to the elements, uncorrected = -95.9 kJ per mole of atoms
E = -7.4192 eV/atom
spin magnetization = 0.00 μB per formula unit

***

2.
This record from the Alexandria database describes a geometry-optimized TbSmSbN structure. The functional is PBE.

Unit cell a=4.611 b=4.611 c=9.029 alpha=90.00 beta=90.00 gamma=90.00
Element x y z (fractional)
Tb 0.250 0.250 0.172
Tb 0.750 0.750 0.828
Sm 0.250 0.750 0.500
Sm 0.750 0.250 0.500
Sb 0.250 0.250 0.809
Sb 0.750 0.750 0.191
N 0.250 0.250 0.415
N 0.750 0.750 0.585

Results
energy relative to the elements, uncorrected = -125.7 kJ per mole of atoms
E = -6.7525 eV/atom
spin magnetization = 0.00 μB per formula unit

***

3.
This record from the Alexandria database describes a geometry-optimized Tb2Sm4Sb3N2 structure. The functional is PBE.

Unit cell a=13.188 b=13.188 c=13.188 alpha=159.29 beta=159.29 gamma=29.45
Element x y z (fractional)
Tb 0.193 0.193 0.000
Tb 0.807 0.807 0.000
Sm 0.084 0.584 0.500
Sm 0.416 0.916 0.500
Sm 0.584 0.084 0.500
Sm 0.916 0.416 0.500
Sb 0.319 0.319 0.000
Sb 0.500 0.500 0.000
Sb 0.681 0.681 0.000
N 0.106 0.106 0.000
N 0.894 0.894 0.000

Results
energy relative to the elements, uncorrected = -111.5 kJ per mole of atoms
E = -6.3514 eV/atom
spin magnetization = 0.00 μB per formula unit

***

4.
This record from the Alexandria database describes a geometry-optimized Tb4Sm2Sb3N2 structure. The functional is PBE.

Unit cell a=13.148 b=13.148 c=13.148 alpha=159.52 beta=159.52 gamma=29.12
Element x y z (fractional)
Tb 0.083 0.583 0.500
Tb 0.417 0.917 0.500
Tb 0.583 0.083 0.500
Tb 0.917 0.417 0.500
Sm 0.193 0.193 0.000
Sm 0.807 0.807 0.000
Sb 0.322 0.322 0.000
Sb 0.500 0.500 0.000
Sb 0.678 0.678 0.000
N 0.101 0.101 0.000
N 0.899 0.899 0.000

Results
energy relative to the elements, uncorrected = -115.6 kJ per mole of atoms
E = -6.3780 eV/atom
spin magnetization = 0.00 μB per formula unit

***

5.
This record from the Alexandria database describes a geometry-optimized TbSm2SbN4 structure. The functional is PBE.

Unit cell a=6.142 b=3.551 c=6.169 alpha=90.00 beta=109.38 gamma=90.00
Element x y z (fractional)
Tb 0.000 0.000 0.000
Sm 0.500 0.000 0.500
Sm 0.500 0.500 0.000
Sb 0.000 0.500 0.500
N 0.250 0.500 0.242
N 0.256 0.000 0.760
N 0.744 0.000 0.240
N 0.750 0.500 0.758

Results
energy relative to the elements, uncorrected = -91.6 kJ per mole of atoms
E = -7.3861 eV/atom
spin magnetization = 0.00 μB per formula unit

***

6.
This record from the Alexandria database describes a geometry-optimized SmTm2SbN4 structure. The functional is PBE.

Unit cell a=6.844 b=6.844 c=11.386 alpha=90.00 beta=90.00 gamma=152.17
Element x y z (fractional)
Sm 0.238 0.762 0.750
Sm 0.762 0.238 0.250
Tm 0.368 0.632 0.003
Tm 0.368 0.632 0.497
Tm 0.632 0.368 0.503
Tm 0.632 0.368 0.997
Sb 0.015 0.985 0.250
Sb 0.985 0.015 0.750
N 0.000 0.000 0.000
N 0.000 0.000 0.500
N 0.212 0.788 0.106
N 0.212 0.788 0.394
N 0.410 0.590 0.250
N 0.590 0.410 0.750
N 0.788 0.212 0.606
N 0.788 0.212 0.894

Results
energy relative to the elements, uncorrected = -84.4 kJ per mole of atoms
E = -7.2608 eV/atom
spin magnetization = 0.00 μB per formula unit

***

7.
This record from the Alexandria database describes a geometry-optimized Sm2USb2N2 structure. The functional is PBE.

Unit cell a=4.331 b=4.331 c=16.354 alpha=90.00 beta=90.00 gamma=90.00
Element x y z (fractional)
Sm 0.000 0.000 0.114
Sm 0.000 0.000 0.886
Sm 0.500 0.500 0.386
Sm 0.500 0.500 0.614
U 0.000 0.000 0.500
U 0.500 0.500 0.000
Sb 0.000 0.000 0.312
Sb 0.000 0.000 0.688
Sb 0.500 0.500 0.188
Sb 0.500 0.500 0.812
N 0.000 0.500 0.000
N 0.000 0.500 0.500
N 0.500 0.000 0.000
N 0.500 0.000 0.500

Results
energy relative to the elements, uncorrected = -103.3 kJ per mole of atoms
E = -7.5879 eV/atom
spin magnetization = 0.45 μB per formula unit

***

8.
This record from the Alexandria database describes a geometry-optimized SmUSbN2 structure. The functional is PBE.

Unit cell a=3.924 b=3.924 c=12.544 alpha=90.00 beta=90.00 gamma=90.00
Element x y z (fractional)
Sm 0.000 0.000 0.000
Sm 0.500 0.500 0.500
U 0.000 0.000 0.321
U 0.500 0.500 0.821
Sb 0.000 0.000 0.667
Sb 0.500 0.500 0.167
N 0.000 0.500 0.394
N 0.000 0.500 0.894
N 0.500 0.000 0.394
N 0.500 0.000 0.894

Results
energy relative to the elements, uncorrected = -125.0 kJ per mole of atoms
E = -8.6517 eV/atom
spin magnetization = 0.03 μB per formula unit

***

9.
This record from the Alexandria database describes a geometry-optimized Sm2USbN2 structure. The functional is PBE.

Unit cell a=4.374 b=4.374 c=6.583 alpha=90.00 beta=90.00 gamma=90.00
Element x y z (fractional)
Sm 0.000 0.000 0.239
Sm 0.000 0.000 0.761
U 0.500 0.500 0.000
Sb 0.500 0.500 0.500
N 0.000 0.500 0.000
N 0.500 0.000 0.000

Results
energy relative to the elements, uncorrected = -106.0 kJ per mole of atoms
E = -8.0157 eV/atom
spin magnetization = 1.90 μB per formula unit

***

10.
This record from the Alexandria database describes a geometry-optimized Sm2USbN5 structure. The functional is PBE.

Unit cell a=7.345 b=7.345 c=10.646 alpha=90.00 beta=90.00 gamma=152.13
Element x y z (fractional)
Sm 0.114 0.886 0.500
Sm 0.135 0.865 0.086
Sm 0.865 0.135 0.586
Sm 0.886 0.114 0.000
U 0.217 0.783 0.807
U 0.783 0.217 0.307
Sb 0.485 0.515 0.273
Sb 0.515 0.485 0.773
N 0.054 0.946 0.863
N 0.281 0.719 0.441
N 0.300 0.700 0.175
N 0.371 0.629 0.810
N 0.496 0.504 0.582
N 0.504 0.496 0.082
N 0.629 0.371 0.310
N 0.700 0.300 0.675
N 0.719 0.281 0.941
N 0.946 0.054 0.363

Results
energy relative to the elements, uncorrected = -79.3 kJ per mole of atoms
E = -8.2085 eV/atom
spin magnetization = 1.28 μB per formula unit

***

11.
This record from the Alexandria database describes a geometry-optimized Sm2Y4Sb3N2 structure. The functional is PBE.

Unit cell a=13.117 b=13.117 c=13.117 alpha=159.52 beta=159.52 gamma=29.12
Element x y z (fractional)
Sm 0.193 0.193 0.000
Sm 0.807 0.807 0.000
Y 0.083 0.583 0.500
Y 0.417 0.917 0.500
Y 0.583 0.083 0.500
Y 0.917 0.417 0.500
Sb 0.322 0.322 0.000
Sb 0.500 0.500 0.000
Sb 0.678 0.678 0.000
N 0.100 0.100 0.000
N 0.900 0.900 0.000

Results
energy relative to the elements, uncorrected = -116.8 kJ per mole of atoms
E = -7.0568 eV/atom
spin magnetization = 0.00 μB per formula unit

***

12.
This record from the Alexandria database describes a geometry-optimized Sm4Y2Sb3N2 structure. The functional is PBE.

Unit cell a=13.143 b=13.143 c=13.143 alpha=159.22 beta=159.22 gamma=29.56
Element x y z (fractional)
Sm 0.084 0.584 0.500
Sm 0.416 0.916 0.500
Sm 0.584 0.084 0.500
Sm 0.916 0.416 0.500
Y 0.193 0.193 0.000
Y 0.807 0.807 0.000
Sb 0.319 0.319 0.000
Sb 0.500 0.500 0.000
Sb 0.681 0.681 0.000
N 0.106 0.106 0.000
N 0.894 0.894 0.000

Results
energy relative to the elements, uncorrected = -111.8 kJ per mole of atoms
E = -6.6877 eV/atom
spin magnetization = 0.00 μB per formula unit

***

13.
This record from the Alexandria database describes a geometry-optimized SnSbN structure. The functional is PBE.

Unit cell a=4.256 b=4.259 c=11.629 alpha=99.34 beta=97.25 gamma=90.00
Element x y z (fractional)
Sn 0.000 0.000 0.000
Sn 0.093 0.120 0.267
Sb 0.475 0.468 0.929
Sb 0.563 0.582 0.181
N 0.688 0.704 0.580
N 0.868 0.891 0.622

Results
energy relative to the elements, uncorrected = 8.9 kJ per mole of atoms
E = -5.3917 eV/atom
spin magnetization = 0.00 μB per formula unit

***

14.
This record from the Alexandria database describes a geometry-optimized SnSb3N structure. The functional is PBE.

Unit cell a=5.612 b=5.612 c=5.612 alpha=90.00 beta=90.00 gamma=90.00
Element x y z (fractional)
Sn 0.000 0.000 0.000
Sb 0.000 0.000 0.500
Sb 0.000 0.500 0.000
Sb 0.500 0.000 0.000
N 0.500 0.500 0.500

Results
energy relative to the elements, uncorrected = 197.5 kJ per mole of atoms
E = -2.8916 eV/atom
spin magnetization = 0.00 μB per formula unit

***

15.
This record from the Alexandria database describes a geometry-optimized SnSbN structure. The functional is PBE.

Unit cell a=3.208 b=3.208 c=11.801 alpha=90.26 beta=90.11 gamma=90.00
Element x y z (fractional)
Sn 0.249 0.248 0.390
Sn 0.751 0.752 0.610
Sb 0.247 0.244 0.140
Sb 0.753 0.756 0.860
N 0.251 0.251 0.579
N 0.749 0.749 0.421

Results
energy relative to the elements, uncorrected = 26.2 kJ per mole of atoms
E = -5.2117 eV/atom
spin magnetization = 0.00 μB per formula unit

***

16.
This record from the Alexandria database describes a geometry-optimized Sn2SbN structure. The functional is PBE.

Unit cell a=4.736 b=4.736 c=20.514 alpha=90.00 beta=90.00 gamma=120.00
Element x y z (fractional)
Sn 0.000 0.000 0.095
Sn 0.000 0.000 0.905
Sn 0.333 0.667 0.572
Sn 0.333 0.667 0.762
Sn 0.667 0.333 0.238
Sn 0.667 0.333 0.428
Sb 0.000 0.000 0.500
Sb 0.333 0.667 0.167
Sb 0.667 0.333 0.833
N 0.000 0.000 0.000
N 0.333 0.667 0.667
N 0.667 0.333 0.333

Results
energy relative to the elements, uncorrected = 51.7 kJ per mole of atoms
E = -4.5778 eV/atom
spin magnetization = 0.00 μB per formula unit

***

17.
This record from the Alexandria database describes a geometry-optimized SnSb3N structure. The functional is PBE.

Unit cell a=4.851 b=4.851 c=4.851 alpha=90.00 beta=90.00 gamma=90.00
Element x y z (fractional)
Sn 0.000 0.000 0.000
Sb 0.000 0.500 0.500
Sb 0.500 0.000 0.500
Sb 0.500 0.500 0.000
N 0.500 0.500 0.500

Results
energy relative to the elements, uncorrected = 49.4 kJ per mole of atoms
E = -4.4271 eV/atom
spin magnetization = 0.00 μB per formula unit

***

18.
This record from the Alexandria database describes a geometry-optimized SnSbN structure. The functional is PBE.

Unit cell a=7.375 b=3.084 c=7.408 alpha=90.00 beta=102.11 gamma=90.00
Element x y z (fractional)
Sn 0.000 0.000 0.000
Sn 0.271 0.000 0.732
Sb 0.318 0.000 0.319
Sb 0.588 0.000 0.052
N 0.743 0.500 0.574
N 0.842 0.500 0.478

Results
energy relative to the elements, uncorrected = 14.3 kJ per mole of atoms
E = -5.3348 eV/atom
spin magnetization = 0.00 μB per formula unit

***

19.
This record from the Alexandria database describes a geometry-optimized SnSbN structure. The functional is PBE.

Unit cell a=5.903 b=3.211 c=13.352 alpha=90.00 beta=102.59 gamma=90.00
Element x y z (fractional)
Sn 0.000 0.000 0.000
Sn 0.130 0.000 0.763
Sn 0.500 0.500 0.000
Sn 0.630 0.500 0.763
Sb 0.322 0.000 0.501
Sb 0.368 0.500 0.241
Sb 0.822 0.500 0.501
Sb 0.868 0.000 0.241
N 0.040 0.000 0.590
N 0.328 0.000 0.123
N 0.540 0.500 0.590
N 0.828 0.500 0.123

Results
energy relative to the elements, uncorrected = 43.0 kJ per mole of atoms
E = -5.0374 eV/atom
spin magnetization = 0.00 μB per formula unit

***

20.
This record from the Alexandria database describes a geometry-optimized SnSbN structure. The functional is PBE.

Unit cell a=3.292 b=6.691 c=8.373 alpha=91.45 beta=90.41 gamma=90.06
Element x y z (fractional)
Sn 0.000 0.000 0.000
Sn 0.493 0.753 0.746
Sb 0.005 0.721 0.266
Sb 0.999 0.480 0.978
N 0.505 0.234 0.557
N 0.505 0.236 0.424

Results
energy relative to the elements, uncorrected = 15.0 kJ per mole of atoms
E = -5.3282 eV/atom
spin magnetization = 0.00 μB per formula unit

***

21.
This record from the Alexandria database describes a geometry-optimized Sn2SbN structure. The functional is PBE.

Unit cell a=5.759 b=5.759 c=12.453 alpha=90.00 beta=90.00 gamma=90.00
Element x y z (fractional)
Sn 0.148 0.250 0.125
Sn 0.250 0.648 0.375
Sn 0.250 0.852 0.875
Sn 0.352 0.250 0.625
Sn 0.648 0.750 0.625
Sn 0.750 0.148 0.875
Sn 0.750 0.352 0.375
Sn 0.852 0.750 0.125
Sb 0.000 0.000 0.500
Sb 0.000 0.500 0.750
Sb 0.500 0.000 0.250
Sb 0.500 0.500 0.000
N 0.000 0.000 0.000
N 0.000 0.500 0.250
N 0.500 0.000 0.750
N 0.500 0.500 0.500

Results
energy relative to the elements, uncorrected = 38.0 kJ per mole of atoms
E = -4.7191 eV/atom
spin magnetization = 0.00 μB per formula unit

***

22.
This record from the Alexandria database describes a geometry-optimized SnSbN structure. The functional is PBE.

Unit cell a=4.662 b=4.662 c=10.705 alpha=88.58 beta=80.94 gamma=85.31
Element x y z (fractional)
Sn 0.000 0.000 0.000
Sn 0.386 0.313 0.766
Sb 0.551 0.554 0.005
Sb 0.835 0.759 0.761
N 0.134 0.066 0.366
N 0.259 0.233 0.400

Results
energy relative to the elements, uncorrected = 12.3 kJ per mole of atoms
E = -5.3564 eV/atom
spin magnetization = 0.00 μB per formula unit

***

23.
This record from the Alexandria database describes a geometry-optimized SnSb3N structure. The functional is PBE.

Unit cell a=4.793 b=5.357 c=10.702 alpha=75.74 beta=77.43 gamma=82.78
Element x y z (fractional)
Sn 0.224 0.408 0.119
Sn 0.776 0.592 0.881
Sb 0.163 0.868 0.395
Sb 0.197 0.131 0.879
Sb 0.458 0.709 0.660
Sb 0.542 0.291 0.340
Sb 0.803 0.869 0.121
Sb 0.837 0.132 0.605
N 0.073 0.897 0.757
N 0.927 0.103 0.243

Results
energy relative to the elements, uncorrected = 25.8 kJ per mole of atoms
E = -4.6712 eV/atom
spin magnetization = 0.00 μB per formula unit

***

24.
This record from the Alexandria database describes a geometry-optimized SnSbN structure. The functional is PBE.

Unit cell a=5.857 b=3.342 c=6.583 alpha=90.00 beta=93.81 gamma=90.00
Element x y z (fractional)
Sn 0.000 0.000 0.000
Sn 0.500 0.500 0.000
Sb 0.130 0.500 0.506
Sb 0.630 0.000 0.506
N 0.156 0.500 0.829
N 0.656 0.000 0.829

Results
energy relative to the elements, uncorrected = 23.3 kJ per mole of atoms
E = -5.2419 eV/atom
spin magnetization = 0.00 μB per formula unit